(1)
# CdFeCu

A relaxed structure of CdFeCu (PBE-GGA, OQMD).

Calculated formation energy: 401.3 meV/atom
Final energy: -35.2 eV for the cell shown

abc: 7.6192 7.6192 2.6741
angles: 90.00 90.00 120.00
Last column: nearest neighbours and their distance in Å.
Space group P-62m (No. 189)
Symmetry-distinct sites (fractional):
Cd 0.0000 0.3076 0.0000 [3 per cell]  4 Fe 2.64-2.70, 2 Cd 2.67, 6 Cu 2.85-2.90
Fe 0.0000 0.0000 0.5000 [1 per cell]  2 Fe 2.67, 6 Cd 2.70, 3 Cu 2.76
Fe 0.3333 0.6667 0.0000 [2 per cell]  3 Cd 2.64, 2 Fe 2.67, 6 Cu 2.78
Cu 0.0000 0.6376 0.5000 [3 per cell]  2 Cu 2.67, 5 Fe 2.76-2.78, 6 Cd 2.85-2.90



(2)
# CdGaFeCu

A relaxed structure of CdGaFeCu (PBE-GGA, OQMD).

Final energy: -61.0 eV for the cell shown

abc: 6.1909 6.1909 6.1909
angles: 90.00 90.00 90.00
Last column: nearest neighbours and their distance in Å.
Space group F-43m (No. 216)
Symmetry-distinct sites (fractional):
Cd 0.0000 0.0000 0.0000 [4 per cell]  4 Fe 2.68, 4 Cu 2.68
Ga 0.0000 0.0000 0.5000 [4 per cell]  4 Cu 2.68, 4 Fe 2.68
Fe 0.2500 0.2500 0.2500 [4 per cell]  4 Cd 2.68, 4 Ga 2.68
Cu 0.2500 0.2500 0.7500 [4 per cell]  4 Cd 2.68, 4 Ga 2.68



(3)
# CdFeCuGe

A relaxed structure of CdFeCuGe (PBE-GGA, OQMD).

Final energy: -65.9 eV for the cell shown

abc: 6.2267 6.2267 6.2267
angles: 90.00 90.00 90.00
Last column: nearest neighbours and their distance in Å.
Space group F-43m (No. 216)
Symmetry-distinct sites (fractional):
Cd 0.0000 0.0000 0.0000 [4 per cell]  4 Fe 2.70, 4 Cu 2.70
Fe 0.2500 0.2500 0.2500 [4 per cell]  4 Ge 2.70, 4 Cd 2.70
Cu 0.2500 0.2500 0.7500 [4 per cell]  4 Ge 2.70, 4 Cd 2.70
Ge 0.0000 0.0000 0.5000 [4 per cell]  4 Cu 2.70, 4 Fe 2.70